Material: TcSnC2
Method: DFT, PBE
State: relaxed

Calculated values
ΔH_f (0 K) = 0.8978 eV/atom
Space-group type = I-42d, No. 122

Cell lengths 4.953, 4.953, 5.989 Å; angles 65.57, 65.57, 90.00 degrees
Fractional coordinates of all 8 atoms:
1 C 0.375 0.429 0.750
2 C 0.571 0.125 0.250
3 C 0.179 0.625 0.250
4 C 0.875 0.821 0.750
5 Tc 0.250 0.750 0.500
6 Sn 0.000 0.000 0.000
7 Sn 0.750 0.250 0.500
8 Tc 0.500 0.500 0.000

Material: Tc2SnC
Method: DFT, PBE
State: relaxed

Calculated values
Energy above the lowest structure with this stoichiometry = 0.000 eV/atom
ΔH_f (0 K) = 0.1210 eV/atom
Space-group type = R-3m, No. 166

Cell lengths 3.204, 3.204, 6.815 Å; angles 76.41, 76.41, 60.00 degrees
Fractional coordinates of all 4 atoms:
1 C 0.000 0.000 0.000
2 Sn 0.500 0.500 0.500
3 Tc 0.282 0.282 0.155
4 Tc 0.718 0.718 0.845